Here is crystalline YEr4Ru2 at its relaxed geometry from the Alexandria database. Energies are from GGA-PBE.

CIF file:
```
data_YEr4Ru2
_cell_length_a 7.7010
_cell_length_b 6.2812
_cell_length_c 7.8791
_cell_angle_alpha 90.00
_cell_angle_beta 112.46
_cell_angle_gamma 90.00
_space_group_name_H-M_alt 'P 1 21/m 1'
_space_group_IT_number 11
_space_group_name_Hall '-P 2yb'
loop_
_atom_site_label
_atom_site_type_symbol
_atom_site_fract_x
_atom_site_fract_y
_atom_site_fract_z
Y1 Y 0.0227 0.2500 0.1633
Er1 Er 0.2424 0.5010 0.5844
Er2 Er 0.3261 0.7500 0.2504
Er3 Er 0.3796 0.2500 0.0204
Ru1 Ru 0.0235 0.2500 0.7407
Ru2 Ru 0.4163 0.2500 0.3759
```

Summary:
**VASP energy**: -90.5 eV per cell
**M_tot**: 0.0 μB/f.u.